Record 1
ScTcSb2 | GGA-PBE | relaxed

Cell and atoms, written as CIF:
```
data_ScTcSb2
_chemical_formula_sum 'Sc3 Tc3 Sb6'
_cell_length_a 3.3438
_cell_length_b 3.3438
_cell_length_c 26.1578
_cell_angle_alpha 90.00
_cell_angle_beta 90.00
_cell_angle_gamma 120.00
_symmetry_space_group_name_H-M 'R -3 m'
_symmetry_Int_Tables_number 166
_symmetry_space_group_name_Hall '-R 3 2"'
loop_
_atom_site_label
_atom_site_fract_x
_atom_site_fract_y
_atom_site_fract_z
Sc1 0.0000 0.0000 0.0000
Tc1 0.0000 0.0000 0.5000
Sb1 0.0000 0.0000 0.2406
```

E_form (uncorrected): -50 meV/atom
energy relative to the lowest polymorph listed for this composition: 0.88 eV/f.u.

***

Record 2
ScTcSb2 | GGA-PBE | relaxed

Cell and atoms, written as CIF:
```
data_ScTcSb2
_chemical_formula_sum 'Sc1 Tc1 Sb2'
_cell_length_a 3.4719
_cell_length_b 5.3072
_cell_length_c 4.5178
_cell_angle_alpha 90.00
_cell_angle_beta 90.00
_cell_angle_gamma 90.00
_symmetry_space_group_name_H-M 'P m m 2'
_symmetry_Int_Tables_number 25
loop_
_symmetry_equiv_pos_as_xyz
'x,y,z'
'-x,-y,z'
'-x,y,z'
'x,-y,z'
loop_
_atom_site_label
_atom_site_fract_x
_atom_site_fract_y
_atom_site_fract_z
Sc1 0.0000 0.0000 0.0000
Tc1 0.5000 0.5000 0.7865
Sb1 0.0000 0.5000 0.2923
Sb2 0.5000 0.0000 0.5128
```

E_form (uncorrected): -102 meV/atom
energy relative to the lowest polymorph listed for this composition: 0.68 eV/f.u.

***

Record 3
ScTcSb2Te | GGA-PBE | relaxed

Cell and atoms, written as CIF:
```
data_ScTcSb2Te
_chemical_formula_sum 'Sc1 Tc1 Sb2 Te1'
_cell_length_a 4.9996
_cell_length_b 4.9996
_cell_length_c 5.7960
_cell_angle_alpha 90.00
_cell_angle_beta 90.00
_cell_angle_gamma 90.00
_symmetry_space_group_name_H-M 'P 4/m m m'
_symmetry_Int_Tables_number 123
_symmetry_space_group_name_Hall '-P 4 2'
loop_
_atom_site_label
_atom_site_fract_x
_atom_site_fract_y
_atom_site_fract_z
Sc1 0.0000 0.0000 0.0000
Tc1 0.5000 0.5000 0.5000
Sb1 0.0000 0.5000 0.5000
Te1 0.5000 0.5000 0.0000
```

E_form (uncorrected): 369 meV/atom
energy relative to the lowest polymorph listed for this composition: 0.00 eV/f.u.

***

Record 4
ScTcSbTe2 | GGA-PBE | relaxed

Cell and atoms, written as CIF:
```
data_ScTcSbTe2
_chemical_formula_sum 'Sc1 Tc1 Sb1 Te2'
_cell_length_a 5.3633
_cell_length_b 5.3633
_cell_length_c 4.9742
_cell_angle_alpha 90.00
_cell_angle_beta 90.00
_cell_angle_gamma 90.00
_symmetry_space_group_name_H-M 'P 4/m m m'
_symmetry_Int_Tables_number 123
_symmetry_space_group_name_Hall '-P 4 2'
loop_
_atom_site_label
_atom_site_fract_x
_atom_site_fract_y
_atom_site_fract_z
Sc1 0.0000 0.0000 0.0000
Tc1 0.5000 0.5000 0.5000
Sb1 0.5000 0.5000 0.0000
Te1 0.0000 0.5000 0.5000
```

E_form (uncorrected): 363 meV/atom
energy relative to the lowest polymorph listed for this composition: 0.00 eV/f.u.

***

Record 5
Sc2TlTcSb | GGA-PBE | relaxed

Cell and atoms, written as CIF:
```
data_Sc2TlTcSb
_chemical_formula_sum 'Sc2 Tl1 Tc1 Sb1'
_cell_length_a 5.0753
_cell_length_b 5.0753
_cell_length_c 5.0882
_cell_angle_alpha 90.00
_cell_angle_beta 90.00
_cell_angle_gamma 90.00
_symmetry_space_group_name_H-M 'P 4/m m m'
_symmetry_Int_Tables_number 123
_symmetry_space_group_name_Hall '-P 4 2'
loop_
_atom_site_label
_atom_site_fract_x
_atom_site_fract_y
_atom_site_fract_z
Sc1 0.0000 0.5000 0.0000
Tl1 0.0000 0.0000 0.5000
Tc1 0.5000 0.5000 0.0000
Sb1 0.5000 0.5000 0.5000
```

E_form (uncorrected): 1 meV/atom

***

Record 6
Sc2TcSbW | GGA-PBE | relaxed

Cell and atoms, written as CIF:
```
data_Sc2TcSbW
_chemical_formula_sum 'Sc2 Tc1 Sb1 W1'
_cell_length_a 4.8783
_cell_length_b 4.8783
_cell_length_c 5.0252
_cell_angle_alpha 90.00
_cell_angle_beta 90.00
_cell_angle_gamma 90.00
_symmetry_space_group_name_H-M 'P 4/m m m'
_symmetry_Int_Tables_number 123
_symmetry_space_group_name_Hall '-P 4 2'
loop_
_atom_site_label
_atom_site_fract_x
_atom_site_fract_y
_atom_site_fract_z
Sc1 0.0000 0.5000 0.0000
Tc1 0.0000 0.0000 0.0000
Sb1 0.0000 0.0000 0.5000
W1 0.5000 0.5000 0.5000
```

E_form (uncorrected): 898 meV/atom

***

Record 7
ScSbTe2 | GGA-PBE | relaxed

Cell and atoms, written as CIF:
```
data_ScSbTe2
_chemical_formula_sum 'Sc4 Sb4 Te8'
_cell_length_a 5.7360
_cell_length_b 5.7360
_cell_length_c 17.3346
_cell_angle_alpha 90.00
_cell_angle_beta 90.00
_cell_angle_gamma 90.00
_symmetry_space_group_name_H-M 'I -4 2 d'
_symmetry_Int_Tables_number 122
_symmetry_space_group_name_Hall 'I -4 2bw'
loop_
_atom_site_label
_atom_site_fract_x
_atom_site_fract_y
_atom_site_fract_z
Sc1 0.0000 0.0000 0.0000
Sb1 0.0000 0.0000 0.5000
Te1 0.2214 0.2500 0.1250
```

E_form (uncorrected): -200 meV/atom

***

Record 8
ScSbTe2 | GGA-PBE | relaxed

Cell and atoms, written as CIF:
```
data_ScSbTe2
_chemical_formula_sum 'Sc3 Sb3 Te6'
_cell_length_a 3.5073
_cell_length_b 3.5073
_cell_length_c 32.6308
_cell_angle_alpha 90.00
_cell_angle_beta 90.00
_cell_angle_gamma 120.00
_symmetry_space_group_name_H-M 'R -3 m'
_symmetry_Int_Tables_number 166
_symmetry_space_group_name_Hall '-R 3 2"'
loop_
_atom_site_label
_atom_site_fract_x
_atom_site_fract_y
_atom_site_fract_z
Sc1 0.0000 0.0000 0.0000
Sb1 0.0000 0.0000 0.5000
Te1 0.0000 0.0000 0.0872
```

E_form (uncorrected): 188 meV/atom